# KV2WO8, relaxed, DFT PBE+U
data_KV2WO8
_chemical_formula_sum 'K1 V2 W1 O8'
_cell_length_a 5.5010
_cell_length_b 5.5010
_cell_length_c 7.8611
_cell_angle_alpha 91.35
_cell_angle_beta 91.35
_cell_angle_gamma 62.10
_symmetry_space_group_name_H-M 'P 1'
_symmetry_Int_Tables_number 1
loop_
_symmetry_equiv_pos_as_xyz
'x,y,z'
loop_
_atom_site_label
_atom_site_fract_x
_atom_site_fract_y
_atom_site_fract_z
K1 0.0000 0.0000 0.0000
V1 0.3546 0.3546 0.7144
V2 0.6454 0.6454 0.2856
W1 0.0000 0.0000 0.5000
O1 0.1973 0.7177 0.6750
O2 0.2022 0.2022 0.5828
O3 0.2823 0.8027 0.3250
O4 0.3105 0.3105 0.9153
O5 0.6895 0.6895 0.0847
O6 0.7177 0.1973 0.6750
O7 0.7978 0.7978 0.4172
O8 0.8027 0.2823 0.3250
# M_tot	1.00	μB per formula unit
# energy	-86.658	eV per cell
# SG	C2/m
# calculated density	3.6	g/cm3